No. 1
# LiRuW2

A relaxed LiRuW2 crystal (GGA-PBE, Alexandria).

Space group   No. 47
D(E_F)   1.045 states/eV per atom
Size of the total moment   0.00 Bohr magnetons per cell
DFT formation energy   0.349 eV/atom
E_tot   -8.925 eV/atom

Unit cell a=3.1238 b=4.2982 c=4.3564 alpha=90.00 beta=90.00 gamma=90.00
Last column: nearest neighbours and their distance in Å.
Fractional coordinates of all 4 atoms:
1 Li 0.0000 0.0000 0.0000  4 Ru 2.66, 4 W 2.68
2 Ru 0.5000 0.5000 0.0000  4 Li 2.66, 4 W 2.68
3 W 0.0000 0.5000 0.5000  4 W 2.66, 4 Ru 2.68
4 W 0.5000 0.0000 0.5000  4 W 2.66, 4 Li 2.68


No. 2
# Dy2CdSn

A relaxed Dy2CdSn crystal (GGA-PBE, Alexandria).

Space group   No. 11
D(E_F)   1.107 states/eV per atom
Size of the total moment   0.68 Bohr magnetons per cell
DFT formation energy   -0.488 eV/atom
E_tot   -4.018 eV/atom

Unit cell a=6.2786 b=4.7442 c=7.6849 alpha=90.00 beta=108.02 gamma=90.00
Last column: nearest neighbours and their distance in Å.
Fractional coordinates of all 8 atoms:
1 Dy 0.1811 0.2500 0.4212  3 Cd 3.15-3.48, 4 Sn 3.16-3.40
2 Dy 0.2090 0.2500 0.9256  4 Cd 3.17-3.41, 3 Sn 3.18-3.29
3 Dy 0.7910 0.7500 0.0744  4 Cd 3.17-3.41, 3 Sn 3.18-3.29
4 Dy 0.8189 0.7500 0.5788  3 Cd 3.15-3.48, 4 Sn 3.16-3.40
5 Cd 0.3252 0.7500 0.2132  2 Sn 3.07, 6 Dy 3.15-3.41
6 Cd 0.6748 0.2500 0.7868  2 Sn 3.07, 6 Dy 3.15-3.41
7 Sn 0.3476 0.7500 0.7074  2 Cd 3.07, 7 Dy 3.16-3.40
8 Sn 0.6524 0.2500 0.2926  2 Cd 3.07, 7 Dy 3.16-3.40


No. 3
# Li4PmSn2

A relaxed Li4PmSn2 crystal (GGA-PBE, Alexandria).

Space group   No. 136
D(E_F)   0.408 states/eV per atom
Size of the total moment   0.00 Bohr magnetons per cell
DFT formation energy   -0.473 eV/atom
E_tot   -3.389 eV/atom

Unit cell a=8.0437 b=8.0437 c=4.6657 alpha=90.00 beta=90.00 gamma=90.00
Last column: nearest neighbours and their distance in Å.
Fractional coordinates of all 14 atoms:
1 Li 0.1066 0.3542 0.0000  3 Sn 2.80-2.81, 6 Li 2.82-3.11
2 Li 0.1458 0.6066 0.5000  3 Sn 2.80-2.81, 6 Li 2.82-3.11
3 Li 0.3542 0.1066 0.0000  3 Sn 2.80-2.81, 6 Li 2.82-3.11
4 Li 0.3934 0.8542 0.5000  3 Sn 2.80-2.81, 6 Li 2.82-3.11
5 Li 0.6066 0.1458 0.5000  3 Sn 2.80-2.81, 6 Li 2.82-3.11
6 Li 0.6458 0.8934 0.0000  3 Sn 2.80-2.81, 6 Li 2.82-3.11
7 Li 0.8542 0.3934 0.5000  3 Sn 2.80-2.81, 6 Li 2.82-3.11
8 Li 0.8934 0.6458 0.0000  3 Sn 2.80-2.81, 6 Li 2.82-3.11
9 Pm 0.0000 0.0000 0.5000  6 Sn 3.30-3.34, 4 Li 3.37
10 Pm 0.5000 0.5000 0.0000  6 Sn 3.30-3.34, 4 Li 3.37
11 Sn 0.2096 0.7904 0.0000  6 Li 2.80-2.81
12 Sn 0.2904 0.2904 0.5000  6 Li 2.80-2.81
13 Sn 0.7096 0.7096 0.5000  6 Li 2.80-2.81
14 Sn 0.7904 0.2096 0.0000  6 Li 2.80-2.81


No. 4
# MgAgMo2

A relaxed MgAgMo2 crystal (GGA-PBE, Alexandria).

Space group   No. 25
D(E_F)   0.723 states/eV per atom
Size of the total moment   0.00 Bohr magnetons per cell
DFT formation energy   0.359 eV/atom
E_tot   -6.168 eV/atom

Unit cell a=2.6832 b=4.3044 c=5.8900 alpha=90.00 beta=90.00 gamma=90.00
Last column: nearest neighbours and their distance in Å.
Fractional coordinates of all 4 atoms:
1 Mg 0.0000 0.0000 0.0000  2 Mg 2.68, 4 Ag 2.86, 2 Mo 2.89-3.00
2 Ag 0.5000 0.5000 0.7767  2 Ag 2.68, 4 Mg 2.86, 2 Mo 2.91-2.98
3 Mo 0.0000 0.0000 0.4904  6 Mo 2.68-2.82, 2 Mg 2.89-3.00
4 Mo 0.5000 0.5000 0.2830  6 Mo 2.68-2.82, 2 Ag 2.91-2.98


No. 5
# Zr2TcMo

A relaxed Zr2TcMo crystal (GGA-PBE, Alexandria).

Space group   No. 25
D(E_F)   0.961 states/eV per atom
Size of the total moment   0.00 Bohr magnetons per cell
DFT formation energy   0.167 eV/atom
E_tot   -9.407 eV/atom

Unit cell a=3.1409 b=4.4232 c=5.4191 alpha=90.00 beta=90.00 gamma=90.00
Last column: nearest neighbours and their distance in Å.
Fractional coordinates of all 4 atoms:
1 Zr 0.0000 0.0000 0.0000  2 Mo 2.58-2.84
2 Zr 0.5000 0.5000 0.2912  2 Tc 2.58-2.84
3 Tc 0.5000 0.5000 0.7665  2 Zr 2.58-2.84
4 Mo 0.0000 0.0000 0.5239  2 Zr 2.58-2.84


No. 6
# Mg2ReIr

A relaxed Mg2ReIr crystal (GGA-PBE, Alexandria).

Space group   No. 47
D(E_F)   0.895 states/eV per atom
Size of the total moment   0.00 Bohr magnetons per cell
DFT formation energy   0.132 eV/atom
E_tot   -5.992 eV/atom

Unit cell a=2.9125 b=4.6163 c=4.7008 alpha=90.00 beta=90.00 gamma=90.00
Last column: nearest neighbours and their distance in Å.
Fractional coordinates of all 4 atoms:
1 Mg 0.0000 0.0000 0.0000  4 Ir 2.73, 6 Mg 2.76-2.91
2 Mg 0.5000 0.0000 0.5000  4 Re 2.73, 6 Mg 2.76-2.91
3 Re 0.0000 0.5000 0.5000  4 Mg 2.73, 4 Ir 2.76, 2 Re 2.91
4 Ir 0.5000 0.5000 0.0000  4 Mg 2.73, 4 Re 2.76, 2 Ir 2.91


No. 7
# LiLaReO6

A relaxed LiLaReO6 crystal (GGA-PBE, Alexandria).

Space group   No. 1
D(E_F)   0.526 states/eV per atom
Size of the total moment   1.01 Bohr magnetons per cell
Formation energy (no corrections)   -2.02 eV/atom
E_tot   -7.472 eV/atom

Unit cell a=5.1485 b=5.2095 c=5.2163 alpha=60.09 beta=89.89 gamma=89.95
Last column: nearest neighbours and their distance in Å.
Fractional coordinates of all 9 atoms:
1 Li 0.0000 0.0000 0.0000  6 O 2.06-2.14
2 La 0.5539 0.6675 0.6678  6 O 2.36-2.52
3 Re 0.0353 0.3332 0.3348  6 O 1.82-1.98
4 O 0.2095 0.0259 0.3410  1 Re 1.82
5 O 0.2096 0.3425 0.6333  1 Re 1.82
6 O 0.2096 0.6332 0.0268  1 Re 1.82
7 O 0.7810 0.2886 0.0751  1 Re 1.98, 1 Li 2.07
8 O 0.7808 0.6393 0.2874  1 Re 1.98, 1 Li 2.06
9 O 0.7817 0.0750 0.6390  1 Re 1.97, 1 Li 2.06


No. 8
# TiFe2Pd2

A relaxed TiFe2Pd2 crystal (GGA-PBE, Alexandria).

Space group   No. 127
D(E_F)   0.782 states/eV per atom
Size of the total moment   7.88 Bohr magnetons per cell
DFT formation energy   -0.026 eV/atom
E_tot   -7.067 eV/atom

Unit cell a=6.1930 b=6.1930 c=3.7634 alpha=90.00 beta=90.00 gamma=90.00
Last column: nearest neighbours and their distance in Å.
Fractional coordinates of all 10 atoms:
1 Ti 0.0000 0.0000 0.0000  4 Fe 2.42
2 Ti 0.5000 0.5000 0.0000  4 Fe 2.42
3 Fe 0.1320 0.3680 0.0000  1 Fe 2.31, 2 Ti 2.42, 2 Pd 2.58
4 Fe 0.3680 0.8680 0.0000  1 Fe 2.31, 2 Ti 2.42, 2 Pd 2.58
5 Fe 0.6320 0.1320 0.0000  1 Fe 2.31, 2 Ti 2.42, 2 Pd 2.58
6 Fe 0.8680 0.6320 0.0000  1 Fe 2.31, 2 Ti 2.42, 2 Pd 2.58
7 Pd 0.1663 0.6663 0.5000  6 Fe 2.58-2.65
8 Pd 0.3337 0.1663 0.5000  6 Fe 2.58-2.65
9 Pd 0.6663 0.8337 0.5000  6 Fe 2.58-2.65
10 Pd 0.8337 0.3337 0.5000  6 Fe 2.58-2.65


No. 9
# CsLiCo2

A relaxed CsLiCo2 crystal (GGA-PBE, Alexandria).

Space group   No. 141
D(E_F)   1.605 states/eV per atom
Size of the total moment   6.17 Bohr magnetons per cell
DFT formation energy   1.005 eV/atom
E_tot   -3.239 eV/atom

Unit cell a=9.9994 b=9.9994 c=9.9994 alpha=153.01 beta=153.01 gamma=38.54
Last column: nearest neighbours and their distance in Å.
Fractional coordinates of all 8 atoms:
1 Cs 0.3750 0.6250 0.7500  4 Li 3.30, 8 Co 3.52
2 Cs 0.6250 0.3750 0.2500  4 Li 3.30, 8 Co 3.52
3 Li 0.1250 0.8750 0.2500  4 Co 2.63
4 Li 0.8750 0.1250 0.7500  4 Co 2.63
5 Co 0.0000 0.0000 0.0000  2 Co 2.33
6 Co 0.0000 0.0000 0.5000  2 Co 2.33
7 Co 0.0000 0.5000 0.0000  2 Co 2.33
8 Co 0.5000 0.0000 0.5000  2 Co 2.33


No. 10
# LiCo2Re

A relaxed LiCo2Re crystal (GGA-PBE, Alexandria).

Space group   No. 119
D(E_F)   0.690 states/eV per atom
Size of the total moment   0.00 Bohr magnetons per cell
DFT formation energy   0.252 eV/atom
E_tot   -6.891 eV/atom

Unit cell a=4.5227 b=4.5227 c=4.5227 alpha=134.76 beta=134.76 gamma=65.91
Last column: nearest neighbours and their distance in Å.
Fractional coordinates of all 4 atoms:
1 Li 0.0000 0.0000 0.0000  8 Co 2.46-2.57, 4 Re 2.57
2 Co 0.5000 0.5000 0.0000  4 Li 2.46, 4 Co 2.57, 4 Re 2.57
3 Co 0.7500 0.2500 0.5000  4 Re 2.46, 4 Co 2.57, 4 Li 2.57
4 Re 0.2500 0.7500 0.5000  8 Co 2.46-2.57, 4 Li 2.57


No. 11
# Tm2ZnCo2

A relaxed Tm2ZnCo2 crystal (GGA-PBE, Alexandria).

Space group   No. 15
D(E_F)   0.470 states/eV per atom
Size of the total moment   0.00 Bohr magnetons per cell
DFT formation energy   -0.328 eV/atom
E_tot   -5.214 eV/atom

Unit cell a=5.3787 b=5.3787 c=7.4640 alpha=102.81 beta=102.81 gamma=58.12
Last column: nearest neighbours and their distance in Å.
Fractional coordinates of all 10 atoms:
1 Tm 0.0062 0.7030 0.8548  6 Co 2.81-2.97, 2 Zn 3.07-3.12
2 Tm 0.2970 0.9938 0.6452  6 Co 2.81-2.97, 2 Zn 3.07-3.12
3 Tm 0.7030 0.0062 0.3548  6 Co 2.81-2.97, 2 Zn 3.07-3.12
4 Tm 0.9938 0.2970 0.1452  6 Co 2.81-2.97, 2 Zn 3.07-3.12
5 Zn 0.3635 0.6365 0.2500  4 Co 2.53-2.55
6 Zn 0.6365 0.3635 0.7500  4 Co 2.53-2.55
7 Co 0.2036 0.5062 0.4926  1 Co 2.25
8 Co 0.4938 0.7964 0.0074  1 Co 2.25
9 Co 0.5062 0.2036 0.9926  1 Co 2.25
10 Co 0.7964 0.4938 0.5074  1 Co 2.25


No. 12
# BaRe2Au

A relaxed BaRe2Au crystal (GGA-PBE, Alexandria).

Space group   No. 10
D(E_F)   1.347 states/eV per atom
Size of the total moment   0.45 Bohr magnetons per cell
DFT formation energy   0.777 eV/atom
E_tot   -6.747 eV/atom

Unit cell a=3.8820 b=4.9244 c=5.6532 alpha=90.00 beta=101.17 gamma=90.00
Last column: nearest neighbours and their distance in Å.
Fractional coordinates of all 4 atoms:
1 Ba 0.0000 0.0000 0.0000  2 Au 3.10
2 Re 0.2804 0.5000 0.6233  2 Re 2.35-2.40
3 Re 0.7196 0.5000 0.3767  2 Re 2.35-2.40
4 Au 0.5000 0.0000 0.5000  4 Re 2.74